Entry 1:
# CeTaSb (PBE, relaxed)
# Total magnetic moment in μB/cell: 0.8
# Raw formation energy in meV per atom: -163
data_CeTaSb
_chemical_formula_sum 'Ce2 Ta2 Sb2'
_cell_length_a 3.182
_cell_length_b 5.334
_cell_length_c 8.648
_cell_angle_alpha 90.00
_cell_angle_beta 90.84
_cell_angle_gamma 90.00
_symmetry_space_group_name_H-M 'P 1 21/m 1'
_symmetry_Int_Tables_number 11
loop_
_symmetry_equiv_pos_as_xyz
'x,y,z'
'-x,-y,-z'
'-x,y+1/2,-z'
'x,-y+1/2,z'
loop_
_atom_site_label
_atom_site_fract_x
_atom_site_fract_y
_atom_site_fract_z
Ce1 0.121 0.250 0.267
Ta1 0.360 0.750 0.050
Sb1 0.318 0.250 0.645

---

Entry 2:
# CsGdTe2 (PBE, relaxed)
# Total magnetic moment in μB/cell: 21.0
# Raw formation energy in meV per atom: -1411
data_CsGdTe2
_chemical_formula_sum 'Cs3 Gd3 Te6'
_cell_length_a 4.6038
_cell_length_b 4.6038
_cell_length_c 26.7443
_cell_angle_alpha 90.00
_cell_angle_beta 90.00
_cell_angle_gamma 120.00
_symmetry_space_group_name_H-M 'R -3 m'
_symmetry_Int_Tables_number 166
_symmetry_space_group_name_Hall '-R 3 2"'
loop_
_atom_site_label
_atom_site_fract_x
_atom_site_fract_y
_atom_site_fract_z
Cs1 0.0000 0.0000 0.0000
Gd1 0.0000 0.0000 0.5000
Te1 0.0000 0.0000 0.2302

---

Entry 3:
# SrSiTe2 (PBE, relaxed)
# Total magnetic moment in μB/cell: 0.0
# Raw formation energy in meV per atom: -390
data_SrSiTe2
_chemical_formula_sum 'Sr2 Si2 Te4'
_cell_length_a 7.676
_cell_length_b 7.379
_cell_length_c 4.037
_cell_angle_alpha 90.00
_cell_angle_beta 90.29
_cell_angle_gamma 90.00
_symmetry_space_group_name_H-M 'C 1 2/m 1'
_symmetry_Int_Tables_number 12
loop_
_symmetry_equiv_pos_as_xyz
'x,y,z'
'-x,-y,-z'
'-x,y,-z'
'x,-y,z'
'x+1/2,y+1/2,z'
'-x+1/2,-y+1/2,-z'
'-x+1/2,y+1/2,-z'
'x+1/2,-y+1/2,z'
loop_
_atom_site_label
_atom_site_fract_x
_atom_site_fract_y
_atom_site_fract_z
Sr1 0.000 0.000 0.000
Si1 0.000 0.500 0.000
Te1 0.250 0.250 0.500

---

Entry 4:
# BaAl2Te4 (PBE, relaxed)
# Total magnetic moment in μB/cell: 0.0
# Relative energy among the computed polymorphs in eV per atom: 0.000
# Raw formation energy in meV per atom: -900
data_BaAl2Te4
_chemical_formula_sum 'Ba2 Al4 Te8'
_cell_length_a 8.699
_cell_length_b 8.699
_cell_length_c 6.754
_cell_angle_alpha 90.00
_cell_angle_beta 90.00
_cell_angle_gamma 90.00
_symmetry_space_group_name_H-M 'P 4/n b m'
_symmetry_Int_Tables_number 125
loop_
_symmetry_equiv_pos_as_xyz
'x,y,z'
'-x,-y,-z'
'-y+1/2,x,z'
'y+1/2,-x,-z'
'-x+1/2,-y+1/2,z'
'x+1/2,y+1/2,-z'
'y,-x+1/2,z'
'-y,x+1/2,-z'
'x,-y+1/2,-z'
'-x,y+1/2,z'
'-y+1/2,-x+1/2,-z'
'y+1/2,x+1/2,z'
'-x+1/2,y,-z'
'x+1/2,-y,z'
'y,x,-z'
'-y,-x,z'
loop_
_atom_site_label
_atom_site_fract_x
_atom_site_fract_y
_atom_site_fract_z
Ba1 0.250 0.250 0.000
Al1 0.250 0.750 0.000
Al2 0.250 0.750 0.500
Te1 0.083 0.583 0.250

---

Entry 5:
# Zn4GaPt (PBE, relaxed)
# Total magnetic moment in μB/cell: 0.0
# Relative energy among the computed polymorphs in eV per atom: 0.000
# Energy of formation from the pure elements in meV/atom: -119
data_Zn4GaPt
_chemical_formula_sum 'Zn8 Ga2 Pt2'
_cell_length_a 4.915
_cell_length_b 5.023
_cell_length_c 8.557
_cell_angle_alpha 90.00
_cell_angle_beta 90.00
_cell_angle_gamma 90.00
_symmetry_space_group_name_H-M 'P 2 2 2'
_symmetry_Int_Tables_number 16
loop_
_symmetry_equiv_pos_as_xyz
'x,y,z'
'-x,-y,z'
'x,-y,-z'
'-x,y,-z'
loop_
_atom_site_label
_atom_site_fract_x
_atom_site_fract_y
_atom_site_fract_z
Zn1 0.208 0.165 0.221
Zn2 0.259 0.362 0.687
Ga1 0.500 0.000 0.500
Ga2 0.500 0.500 0.000
Pt1 0.000 0.000 0.500
Pt2 0.500 0.000 0.000

---

Entry 6:
# Ca2ZrF2 (PBE, relaxed)
# Total magnetic moment in μB/cell: 0.0
# Relative energy among the computed polymorphs in eV per atom: 0.672
# Raw formation energy in meV per atom: -1312
data_Ca2ZrF2
_chemical_formula_sum 'Ca4 Zr2 F4'
_cell_length_a 8.980
_cell_length_b 8.980
_cell_length_c 2.960
_cell_angle_alpha 90.00
_cell_angle_beta 90.00
_cell_angle_gamma 90.00
_symmetry_space_group_name_H-M 'P 4/m b m'
_symmetry_Int_Tables_number 127
_symmetry_space_group_name_Hall '-P 4 2ab'
loop_
_atom_site_label
_atom_site_fract_x
_atom_site_fract_y
_atom_site_fract_z
Ca1 0.121 0.379 0.000
Zr1 0.000 0.000 0.000
F1 0.092 0.592 0.500

---

- Number 5 is which compound?
  Zn4GaPt

---

- What is the formula in the fifth record?
  Zn4GaPt

---

- total magnetic moment of number 2 (CsGdTe2)?
  21.0 μB/cell

---

Repeat the sixth record exactly.
# Ca2ZrF2 (PBE, relaxed)
# Total magnetic moment in μB/cell: 0.0
# Relative energy among the computed polymorphs in eV per atom: 0.672
# Raw formation energy in meV per atom: -1312
data_Ca2ZrF2
_chemical_formula_sum 'Ca4 Zr2 F4'
_cell_length_a 8.980
_cell_length_b 8.980
_cell_length_c 2.960
_cell_angle_alpha 90.00
_cell_angle_beta 90.00
_cell_angle_gamma 90.00
_symmetry_space_group_name_H-M 'P 4/m b m'
_symmetry_Int_Tables_number 127
_symmetry_space_group_name_Hall '-P 4 2ab'
loop_
_atom_site_label
_atom_site_fract_x
_atom_site_fract_y
_atom_site_fract_z
Ca1 0.121 0.379 0.000
Zr1 0.000 0.000 0.000
F1 0.092 0.592 0.500